## MgZn10In (PBE)

Data for a relaxed MgZn10In crystal.

Geometry as CIF:
```
data_MgZn10In
_chemical_formula_sum 'Mg1 Zn10 In1'
_cell_length_a 4.2498
_cell_length_b 5.4883
_cell_length_c 8.9677
_cell_angle_alpha 90.00
_cell_angle_beta 90.00
_cell_angle_gamma 90.00
_space_group_name_H-M_alt 'P m m m'
_space_group_IT_number 47
_space_group_name_Hall '-P 2 2'
loop_
_atom_site_label
_atom_site_fract_x
_atom_site_fract_y
_atom_site_fract_z
Mg1 0.0000 0.0000 0.0000
Zn1 0.0000 0.0000 0.3306
Zn2 0.0000 0.5000 0.1673
Zn3 0.5000 0.0000 0.5000
Zn4 0.5000 0.2393 0.2379
Zn5 0.5000 0.5000 0.0000
In1 0.0000 0.5000 0.5000
```

Results
- ΔE_f: 42 meV/atom
- Calculated volume: 209.16 Å³/cell
- Density of states at the Fermi level: 3.78 states/eV/f.u.

## Zn3CdAg (PBE)

Data for a relaxed Zn3CdAg crystal.

Geometry as CIF:
```
data_Zn3CdAg
_chemical_formula_sum 'Zn6 Cd2 Ag2'
_cell_length_a 4.9745
_cell_length_b 4.7969
_cell_length_c 7.4383
_cell_angle_alpha 90.00
_cell_angle_beta 107.71
_cell_angle_gamma 90.00
_space_group_name_H-M_alt 'P 1 21/m 1'
_space_group_IT_number 11
_space_group_name_Hall '-P 2yb'
loop_
_atom_site_label
_atom_site_fract_x
_atom_site_fract_y
_atom_site_fract_z
Zn1 0.0267 0.2500 0.3985
Zn2 0.1621 0.7500 0.9989
Zn3 0.3571 0.7500 0.4092
Cd1 0.2394 0.2500 0.7966
Ag1 0.4155 0.2500 0.2061
```

Results
- ΔE_f: 14 meV/atom
- Energy relative to the lowest polymorph listed for this composition: 0.006 eV per atom
- Calculated volume: 169.08 Å³/cell
- Density of states at the Fermi level: 1.14 states/eV/f.u.

## Ge3BP (PBE)

Data for a relaxed Ge3BP crystal.

Geometry as CIF:
```
data_Ge3BP
_chemical_formula_sum 'Ge3 B1 P1'
_cell_length_a 4.7269
_cell_length_b 4.7269
_cell_length_c 4.7269
_cell_angle_alpha 90.00
_cell_angle_beta 90.00
_cell_angle_gamma 90.00
_space_group_name_H-M_alt 'P m -3 m'
_space_group_IT_number 221
_space_group_name_Hall '-P 4 2 3'
loop_
_atom_site_label
_atom_site_fract_x
_atom_site_fract_y
_atom_site_fract_z
Ge1 0.0000 0.0000 0.5000
B1 0.5000 0.5000 0.5000
P1 0.0000 0.0000 0.0000
```

Results
- ΔE_f: 1436 meV/atom
- Energy relative to the lowest polymorph listed for this composition: 0.732 eV per atom
- Calculated volume: 105.62 Å³/cell
- Density of states at the Fermi level: 2.29 states/eV/f.u.

## LiB3C (PBE)

Data for a relaxed LiB3C crystal.

Geometry as CIF:
```
data_LiB3C
_chemical_formula_sum 'Li2 B6 C2'
_cell_length_a 4.1267
_cell_length_b 4.1418
_cell_length_c 4.2372
_cell_angle_alpha 90.00
_cell_angle_beta 118.59
_cell_angle_gamma 90.00
_space_group_name_H-M_alt 'P 1 21/m 1'
_space_group_IT_number 11
_space_group_name_Hall '-P 2yb'
loop_
_atom_site_label
_atom_site_fract_x
_atom_site_fract_y
_atom_site_fract_z
Li1 0.0027 0.2500 0.2585
B1 0.2168 0.2500 0.8438
B2 0.4972 0.5211 0.7476
C1 0.2459 0.7500 0.3376
```

Results
- ΔE_f: 107 meV/atom
- Energy relative to the lowest polymorph listed for this composition: 0.000 eV per atom
- Calculated volume: 63.59 Å³/cell
- Density of states at the Fermi level: 0.01 states/eV/f.u.

## CsBi2IO8 (PBE)

Data for a relaxed CsBi2IO8 crystal.

Geometry as CIF:
```
data_CsBi2IO8
_chemical_formula_sum 'Cs1 Bi2 I1 O8'
_cell_length_a 4.9691
_cell_length_b 4.9712
_cell_length_c 8.3184
_cell_angle_alpha 91.54
_cell_angle_beta 91.58
_cell_angle_gamma 91.01
_space_group_name_H-M_alt 'P -1'
_space_group_IT_number 2
_space_group_name_Hall '-P 1'
loop_
_atom_site_label
_atom_site_fract_x
_atom_site_fract_y
_atom_site_fract_z
Cs1 0.0000 0.0000 0.0000
Bi1 0.4764 0.4767 0.2876
I1 0.0000 0.0000 0.5000
O1 0.1669 0.8056 0.6674
O2 0.1964 0.8353 0.3328
O3 0.2817 0.2845 0.5219
O4 0.3960 0.3967 0.9722
```

Results
- Formation energy from raw total energies: -0.75 eV per atom
- Calculated volume: 205.30 Å³/cell

## Yb3Re (PBE)

Data for a relaxed Yb3Re crystal.

Geometry as CIF:
```
data_Yb3Re
_chemical_formula_sum 'Yb12 Re4'
_cell_length_a 7.2559
_cell_length_b 7.2559
_cell_length_c 7.2559
_cell_angle_alpha 90.00
_cell_angle_beta 90.00
_cell_angle_gamma 90.00
_space_group_name_H-M_alt 'F m -3 m'
_space_group_IT_number 225
_space_group_name_Hall '-F 4 2 3'
loop_
_atom_site_label
_atom_site_fract_x
_atom_site_fract_y
_atom_site_fract_z
Yb1 0.0000 0.0000 0.0000
Yb2 0.2500 0.2500 0.2500
Re1 0.0000 0.0000 0.5000
```

Results
- ΔE_f: 397 meV/atom
- Energy relative to the lowest polymorph listed for this composition: 0.025 eV per atom
- Calculated volume: 382.02 Å³/cell
- Density of states at the Fermi level: 15.19 states/eV/f.u.

## MnCd2Br (PBE)

Data for a relaxed MnCd2Br crystal.

Geometry as CIF:
```
data_MnCd2Br
_chemical_formula_sum 'Mn2 Cd4 Br2'
_cell_length_a 4.3004
_cell_length_b 4.3004
_cell_length_c 10.0432
_cell_angle_alpha 90.00
_cell_angle_beta 90.00
_cell_angle_gamma 90.00
_space_group_name_H-M_alt 'I -4 m 2'
_space_group_IT_number 119
_space_group_name_Hall 'I -4 -2'
loop_
_atom_site_label
_atom_site_fract_x
_atom_site_fract_y
_atom_site_fract_z
Mn1 0.0000 0.0000 0.0000
Cd1 0.0000 0.0000 0.5000
Cd2 0.0000 0.5000 0.2500
Br1 0.0000 0.5000 0.7500
```

Results
- Formation energy from raw total energies: 0.29 eV per atom
- Energy relative to the lowest polymorph listed for this composition: 0.276 eV per atom
- Calculated volume: 185.73 Å³/cell
- Density of states at the Fermi level: 2.04 states/eV/f.u.

## SrFeHg2 (PBE)

Data for a relaxed SrFeHg2 crystal.

Geometry as CIF:
```
data_SrFeHg2
_chemical_formula_sum 'Sr2 Fe2 Hg4'
_cell_length_a 4.6033
_cell_length_b 4.6033
_cell_length_c 9.3329
_cell_angle_alpha 90.00
_cell_angle_beta 90.00
_cell_angle_gamma 90.00
_space_group_name_H-M_alt 'I -4 m 2'
_space_group_IT_number 119
_space_group_name_Hall 'I -4 -2'
loop_
_atom_site_label
_atom_site_fract_x
_atom_site_fract_y
_atom_site_fract_z
Sr1 0.0000 0.0000 0.0000
Fe1 0.0000 0.5000 0.7500
Hg1 0.0000 0.0000 0.5000
Hg2 0.0000 0.5000 0.2500
```

Results
- ΔE_f: 256 meV/atom
- Calculated volume: 197.77 Å³/cell
- Density of states at the Fermi level: 7.07 states/eV/f.u.

## Rb3TbAg2I9 (PBE)

Data for a relaxed Rb3TbAg2I9 crystal.

Geometry as CIF:
```
data_Rb3TbAg2I9
_chemical_formula_sum 'Rb3 Tb1 Ag2 I9'
_cell_length_a 8.4363
_cell_length_b 8.4363
_cell_length_c 10.5250
_cell_angle_alpha 90.00
_cell_angle_beta 90.00
_cell_angle_gamma 120.00
_space_group_name_H-M_alt 'P -3 m 1'
_space_group_IT_number 164
_space_group_name_Hall '-P 3 2"'
loop_
_atom_site_label
_atom_site_fract_x
_atom_site_fract_y
_atom_site_fract_z
Rb1 0.0000 0.0000 0.0000
Rb2 0.3333 0.6667 0.6918
Tb1 0.0000 0.0000 0.5000
Ag1 0.3333 0.6667 0.1529
I1 0.0000 0.5000 0.0000
I2 0.1685 0.3371 0.3330
```

Results
- Formation energy from raw total energies: -0.99 eV per atom
- Calculated volume: 648.72 Å³/cell
- Density of states at the Fermi level: 6.06 states/eV/f.u.

What raw total energy values result from the calculations? In sequence: -1.3809; -1.5039; -3.7523; -6.1268; -4.9068; -3.8598; -2.8796; -2.4308; -2.7982 eV per atom.